No. 1
## AcZrCd (GGA-PBE)

Data for crystalline AcZrCd at its relaxed geometry.

The structure in POSCAR format:
```
AcZrCd
1.0
-1.809 1.809 6.706
1.809 -1.809 6.706
1.809 1.809 -6.706
Ac Zr Cd
1 1 1
Cartesian
0.000 0.000 0.000
0.000 0.000 4.245
0.000 0.000 9.263
```

Calculated values
Formation energy (eV/atom): 0.034
Mass density (g cm⁻³): 8.15
Energy above the lowest structure with this stoichiometry (meV/atom): 0
N(E_F) (states/eV/atom): 0.543
DFT total energy (hartree per atom): -0.165

***

No. 2
## CeMgZn3 (GGA-PBE)

Data for crystalline CeMgZn3 at its relaxed geometry.

The structure in POSCAR format:
```
CeMgZn3
1.0
5.453 0.000 0.000
0.000 6.415 0.000
-1.067 0.000 5.820
Ce Mg Zn
2 2 6
Cartesian
0.619 1.604 1.273
3.767 4.811 4.547
2.099 4.811 0.675
2.287 1.604 5.145
-0.689 1.604 4.097
1.027 3.539 3.647
1.027 6.084 3.647
3.358 0.331 2.173
3.358 2.876 2.173
5.074 4.811 1.723
```

Calculated values
Formation energy (eV/atom): -0.154
Mass density (g cm⁻³): 5.88
N(E_F) (states/eV/atom): 1.405
DFT total energy (hartree per atom): -0.089